## A
The following is a GGA-PBE calculation of crystalline BaCu3Te at its relaxed geometry, from Alexandria.

abc: 5.121 5.121 5.121
angles: 90.00 90.00 90.00
Fractional positions:
Te1 0.000 0.000 0.000
Ba1 0.500 0.500 0.500
Cu1 0.000 0.500 0.000
Cu2 0.000 0.000 0.500
Cu3 0.500 0.000 0.000


## B
The following is a GGA-PBE calculation of crystalline BaCu3Te at its relaxed geometry, from Alexandria.

abc: 5.392 5.392 5.392
angles: 90.00 90.00 90.00
Fractional positions:
Te1 0.500 0.500 0.500
Ba1 0.000 0.000 0.000
Cu1 0.000 0.500 0.000
Cu2 0.000 0.000 0.500
Cu3 0.500 0.000 0.000


The most stable arrangement is A, and the next structure is 100.4 kJ/mol of atoms less stable.